# 1
This record from Alexandria via LeMat-Bulk describes an optimized crystal structure of KRb2H4Pd. The functional is GGA-PBE.

Calculated values
E (eV per atom): -2.767
Fermi-level density of states (states/eV/cell): 3.6
Total magnetization (μB per formula unit): 0.0

a = 13.5569 Å, b = 12.0924 Å, c = 7.3891 Å
α = 84.53°, β = 62.61°, γ = 32.86°
Closest atoms and distances in Å follow each position.
Fractional positions:
K1 0.1250 0.1250 0.1250  2 Pd 2.92
K2 0.8750 0.8750 0.8750  2 Pd 2.92
Rb1 0.0508 0.0508 0.6992  2 H 2.78
Rb2 0.3008 0.3008 0.9492  2 H 2.78
Rb3 0.6992 0.6992 0.0508  2 H 2.78
Rb4 0.9492 0.9492 0.3008  2 H 2.78
H1 0.2246 0.4236 0.3554  1 Pd 1.66
H2 0.3554 0.4964 0.2246  1 Pd 1.66
H3 0.4236 0.2246 0.4964  1 Pd 1.66
H4 0.4964 0.3554 0.4236  1 Pd 1.66
H5 0.5036 0.6446 0.5764  1 Pd 1.66
H6 0.5764 0.7754 0.5036  1 Pd 1.66
H7 0.6446 0.5036 0.7754  1 Pd 1.66
H8 0.7754 0.5764 0.6446  1 Pd 1.66
Pd1 0.3750 0.3750 0.3750  4 H 1.66
Pd2 0.6250 0.6250 0.6250  4 H 1.66

# 2
This record from Alexandria via LeMat-Bulk describes an optimized crystal structure of Pr5Nd2Ho3. The functional is GGA-PBE.

Calculated values
Offset from the most stable computed form (kJ/mol of atoms): 17.50
Fermi-level density of states (states/eV/cell): 29.7
E_form (eV/atom): 0.3575
Total magnetization (μB per formula unit): 0.0

a = 12.6083 Å, b = 12.6083 Å, c = 12.6083 Å
α = 135.58°, β = 55.63°, γ = 148.24°
Closest atoms and distances in Å follow each position.
Fractional positions:
Pr1 0.0038 0.7500 0.2538  4 Pr 3.42-3.45, 2 Nd 3.43
Pr2 0.1279 0.0947 0.2226  1 Nd 2.94
Pr3 0.2500 0.2500 0.0000  6 Pr 3.45
Pr4 0.3721 0.5947 0.9668  1 Nd 2.94
Pr5 0.4962 0.7500 0.7462  4 Pr 3.42-3.45, 2 Nd 3.43
Pr6 0.5038 0.2500 0.2538  4 Pr 3.42-3.45, 2 Nd 3.43
Pr7 0.6279 0.4053 0.0332  1 Nd 2.94
Pr8 0.7500 0.7500 0.0000  6 Pr 3.45
Pr9 0.8721 0.9053 0.7774  1 Nd 2.94
Pr10 0.9962 0.2500 0.7462  4 Pr 3.42-3.45, 2 Nd 3.43
Nd1 0.1201 0.4021 0.5222  1 Pr 2.94, 1 Ho 3.28
Nd2 0.3799 0.9021 0.2820  1 Pr 2.94, 1 Ho 3.28
Nd3 0.6201 0.0979 0.7180  1 Pr 2.94, 1 Ho 3.28
Nd4 0.8799 0.5979 0.4778  1 Pr 2.94, 1 Ho 3.28
Ho1 0.1178 0.7460 0.8637  1 Nd 3.28, 1 Pr 3.33
Ho2 0.2500 0.7500 0.5000  4 Nd 3.32, 2 Ho 3.45
Ho3 0.3822 0.2460 0.6282  1 Nd 3.28, 1 Pr 3.33
Ho4 0.6178 0.7540 0.3718  1 Nd 3.28, 1 Pr 3.33
Ho5 0.7500 0.2500 0.5000  4 Nd 3.32, 2 Ho 3.45
Ho6 0.8822 0.2540 0.1363  1 Nd 3.28, 1 Pr 3.33